(1)
# CePa2Co6

A geometry-optimized CePa2Co6 structure (PBE, the Alexandria database).

Cell and atoms, written as CIF:
```
data_CePa2Co6
_space_group_name_H-M_alt 'I m m m'
_space_group_IT_number 71
_space_group_name_Hall '-I 2 2'
_cell_length_a 3.3977
_cell_length_b 6.4379
_cell_length_c 13.4145
_cell_angle_alpha 90.00
_cell_angle_beta 90.00
_cell_angle_gamma 90.00
loop_
_atom_site_label
_atom_site_fract_x
_atom_site_fract_y
_atom_site_fract_z
Ce1 0.0000 0.0000 0.0000
Pa1 0.0000 0.5000 0.1525
Co1 0.0000 0.1927 0.5000
Co2 0.0000 0.2855 0.3247
```

Output
- size of the total moment (μB per cell) = 0.004
- mass density (g/cm³) = 10.82
- DOS at the Fermi energy (states/eV/f.u.) = 11.336
- final energy (eV per formula unit) = -68.26

---

(2)
# Ce2PaCo

A geometry-optimized Ce2PaCo structure (PBE, the Alexandria database).

Cell and atoms, written as CIF:
```
data_Ce2PaCo
_space_group_name_H-M_alt 'R -3 m'
_space_group_IT_number 166
_space_group_name_Hall '-R 3 2"'
_cell_length_a 3.0957
_cell_length_b 3.0957
_cell_length_c 30.8288
_cell_angle_alpha 90.00
_cell_angle_beta 90.00
_cell_angle_gamma 120.00
loop_
_atom_site_label
_atom_site_fract_x
_atom_site_fract_y
_atom_site_fract_z
Ce1 0.0000 0.0000 0.0974
Pa1 0.0000 0.0000 0.0000
Co1 0.0000 0.0000 0.5000
```

Output
- size of the total moment (μB per cell) = 0.561
- mass density (g/cm³) = 11.10
- DOS at the Fermi energy (states/eV/f.u.) = 7.915
- final energy (eV per formula unit) = -27.61

---

(3)
# Ce3PaCo3

A geometry-optimized Ce3PaCo3 structure (PBE, the Alexandria database).

Cell and atoms, written as CIF:
```
data_Ce3PaCo3
_space_group_name_H-M_alt 'P -1'
_space_group_IT_number 2
_space_group_name_Hall '-P 1'
_cell_length_a 3.6245
_cell_length_b 6.1761
_cell_length_c 13.3837
_cell_angle_alpha 83.06
_cell_angle_beta 82.25
_cell_angle_gamma 73.05
loop_
_atom_site_label
_atom_site_fract_x
_atom_site_fract_y
_atom_site_fract_z
Ce1 0.0174 0.1139 0.3516
Ce2 0.1042 0.2204 0.0714
Ce3 0.2144 0.2789 0.7943
Pa1 0.2800 0.5461 0.3938
Co1 0.3814 0.2007 0.5362
Co2 0.3862 0.6633 0.0653
Co3 0.4953 0.2997 0.2090
```

Output
- size of the total moment (μB per cell) = 0.001
- mass density (g/cm³) = 9.72
- DOS at the Fermi energy (states/eV/f.u.) = 10.849
- final energy (eV per formula unit) = -49.96

---

(4)
# Ce2PaCo9

A geometry-optimized Ce2PaCo9 structure (PBE, the Alexandria database).

Cell and atoms, written as CIF:
```
data_Ce2PaCo9
_space_group_name_H-M_alt 'R -3 m'
_space_group_IT_number 166
_space_group_name_Hall '-R 3 2"'
_cell_length_a 4.8451
_cell_length_b 4.8451
_cell_length_c 24.5807
_cell_angle_alpha 90.00
_cell_angle_beta 90.00
_cell_angle_gamma 120.00
loop_
_atom_site_label
_atom_site_fract_x
_atom_site_fract_y
_atom_site_fract_z
Ce1 0.0000 0.0000 0.1391
Pa1 0.0000 0.0000 0.0000
Co1 0.0000 0.0000 0.3331
Co2 0.0000 0.0000 0.5000
Co3 0.0006 0.5003 0.0801
```

Output
- size of the total moment (μB per cell) = 0.004
- mass density (g/cm³) = 10.38
- DOS at the Fermi energy (states/eV/f.u.) = 15.753
- final energy (eV per formula unit) = -87.89

---

(5)
# CePaCo

A geometry-optimized CePaCo structure (PBE, the Alexandria database).

Cell and atoms, written as CIF:
```
data_CePaCo
_space_group_name_H-M_alt 'P 1 21/m 1'
_space_group_IT_number 11
_space_group_name_Hall '-P 2yb'
_cell_length_a 5.3762
_cell_length_b 4.4022
_cell_length_c 5.5525
_cell_angle_alpha 90.00
_cell_angle_beta 99.88
_cell_angle_gamma 90.00
loop_
_atom_site_label
_atom_site_fract_x
_atom_site_fract_y
_atom_site_fract_z
Ce1 0.0729 0.2500 0.2449
Pa1 0.4374 0.2500 0.8276
Co1 0.3563 0.7500 0.5573
```

Output
- size of the total moment (μB per cell) = 0.000
- mass density (g/cm³) = 11.03
- DOS at the Fermi energy (states/eV/f.u.) = 4.411
- final energy (eV per formula unit) = -23.10

---

(6)
# CePaCo

A geometry-optimized CePaCo structure (PBE, the Alexandria database).

Cell and atoms, written as CIF:
```
data_CePaCo
_space_group_name_H-M_alt 'P 1 21/c 1'
_space_group_IT_number 14
_space_group_name_Hall '-P 2ybc'
_cell_length_a 6.4473
_cell_length_b 6.0761
_cell_length_c 6.6958
_cell_angle_alpha 90.00
_cell_angle_beta 102.87
_cell_angle_gamma 90.00
loop_
_atom_site_label
_atom_site_fract_x
_atom_site_fract_y
_atom_site_fract_z
Ce1 0.1054 0.1226 0.3011
Pa1 0.3507 0.6526 0.5612
Co1 0.3894 0.0947 0.6217
```

Output
- size of the total moment (μB per cell) = 0.001
- mass density (g/cm³) = 11.17
- DOS at the Fermi energy (states/eV/f.u.) = 5.797
- final energy (eV per formula unit) = -22.94

---

(7)
# CePaCo

A geometry-optimized CePaCo structure (PBE, the Alexandria database).

Cell and atoms, written as CIF:
```
data_CePaCo
_space_group_name_H-M_alt 'P 3 m 1'
_space_group_IT_number 156
_space_group_name_Hall 'P 3 -2"'
_cell_length_a 4.3302
_cell_length_b 4.3302
_cell_length_c 3.8223
_cell_angle_alpha 90.00
_cell_angle_beta 90.00
_cell_angle_gamma 120.00
loop_
_atom_site_label
_atom_site_fract_x
_atom_site_fract_y
_atom_site_fract_z
Ce1 0.0000 0.0000 0.0000
Pa1 0.3333 0.6667 0.3656
Co1 0.6667 0.3333 0.6364
```

Output
- size of the total moment (μB per cell) = 0.000
- mass density (g/cm³) = 11.51
- DOS at the Fermi energy (states/eV/f.u.) = 3.101
- final energy (eV per formula unit) = -22.67

---

(8)
# CePaCo2

A geometry-optimized CePaCo2 structure (PBE, the Alexandria database).

Cell and atoms, written as CIF:
```
data_CePaCo2
_space_group_name_H-M_alt 'P 4/m m m'
_space_group_IT_number 123
_space_group_name_Hall '-P 4 2'
_cell_length_a 4.7397
_cell_length_b 4.7397
_cell_length_c 3.2718
_cell_angle_alpha 90.00
_cell_angle_beta 90.00
_cell_angle_gamma 90.00
loop_
_atom_site_label
_atom_site_fract_x
_atom_site_fract_y
_atom_site_fract_z
Ce1 0.0000 0.0000 0.0000
Pa1 0.5000 0.5000 0.0000
Co1 0.0000 0.5000 0.5000
```

Output
- size of the total moment (μB per cell) = 0.000
- mass density (g/cm³) = 11.05
- DOS at the Fermi energy (states/eV/f.u.) = 7.356
- final energy (eV per formula unit) = -30.02